Entry from Alexandria via LeMat-Bulk: a crystal of Mn2CoPb relaxed with PBEsol (SCAN).

a b c (Å): 3.7938 3.7938 3.9497
angles (deg): 90.00 90.00 90.00
With the nearest neighbours (Å) after each atom.
Fractional positions:
Mn 0.0000 0.5000 0.0000  4 Mn 2.68, 4 Pb 2.74, 4 Co 2.74
Mn 0.5000 0.0000 0.0000  4 Mn 2.68, 4 Pb 2.74, 4 Co 2.74
Co 0.0000 0.0000 0.5000  4 Pb 2.68, 8 Mn 2.74
Pb 0.5000 0.5000 0.5000  4 Co 2.68, 8 Mn 2.74

Properties
distance to the lowest polymorph of the same formula = 160 meV per atom
SG = No. 123
calculated total energy = -129.03 eV per cell
spin magnetization = 8.57 μB per formula unit